Ca3Mg2Al | GGA-PBE | relaxed

a = 8.519 Å, b = 8.519 Å, c = 8.020 Å
α = 90.00°, β = 90.00°, γ = 143.19°
Atoms (fractional coordinates):
Ca: 0.000 0.000 0.241
Ca: 0.000 0.000 0.759
Ca: 0.329 0.671 0.232
Ca: 0.329 0.671 0.768
Ca: 0.671 0.329 0.232
Ca: 0.671 0.329 0.768
Mg: 0.167 0.833 0.500
Mg: 0.500 0.500 0.000
Mg: 0.500 0.500 0.500
Mg: 0.833 0.167 0.500
Al: 0.160 0.840 0.000
Al: 0.840 0.160 0.000

## Properties
space-group type = No. 65
ΔE_f = -123 meV per atom
density of states at the Fermi level = 9.32 states/eV/cell